# Ti2HgP (GGA-PBE, optimized geometry)
data_Ti2HgP
_space_group_name_H-M_alt 'I -4 2 d'
_space_group_IT_number 122
_space_group_name_Hall 'I -4 2bw'
_cell_length_a 7.0415
_cell_length_b 7.0415
_cell_length_c 5.8049
_cell_angle_alpha 90.00
_cell_angle_beta 90.00
_cell_angle_gamma 90.00
loop_
_atom_site_label
_atom_site_type_symbol
_atom_site_fract_x
_atom_site_fract_y
_atom_site_fract_z
Ti1 Ti 0.2142 0.2500 0.1250
Hg1 Hg 0.0000 0.0000 0.5000
P1 P 0.0000 0.0000 0.0000
# Excess energy over the best structure of this formula in the dataset ... 0 meV per atom
# VASP energy ... -5.6249 eV/atom